Entry 1:
Si2AgW | meta-GGA SCAN | PBEsol geometry

- Calculated total energy: -29.854 eV per atom
- N(E_F): 1.71 states/eV/f.u.
- Symmetry: P4/mmm

Unit cell a=4.212 b=4.212 c=3.229 alpha=90.00 beta=90.00 gamma=90.00
Sites, in units of the cell vectors:
Si1 0.000 0.500 0.000
Si2 0.500 0.000 0.000
Ag1 0.000 0.000 0.500
W1 0.500 0.500 0.500

***

Entry 2:
ScTlMo | meta-GGA SCAN | PBEsol geometry

- Calculated total energy: -40.258 eV per atom
- N(E_F): 2.34 states/eV/f.u.
- Symmetry: Fmm2
- Energy above the lowest structure with this stoichiometry: 0 meV per atom
- Energy relative to the elements: 236 meV per atom

Unit cell a=7.208 b=7.059 c=2.970 alpha=80.81 beta=75.18 gamma=24.00
Sites, in units of the cell vectors:
Sc1 0.000 0.000 0.000
Tl1 0.683 0.683 0.317
Mo1 0.347 0.347 0.653

***

Entry 3:
BaTaCd | meta-GGA SCAN | PBEsol geometry

- Calculated total energy: -44.838 eV per atom
- N(E_F): 2.99 states/eV/f.u.
- Symmetry: I4mm
- Energy above the lowest structure with this stoichiometry: 0 meV per atom
- Energy relative to the elements: 678 meV per atom

Unit cell a=7.942 b=7.942 c=7.942 alpha=157.32 beta=157.32 gamma=32.29
Sites, in units of the cell vectors:
Ba1 0.000 0.000 0.000
Ta1 0.688 0.688 0.000
Cd1 0.315 0.315 0.000

***

Entry 4:
Tl3ZnW | meta-GGA SCAN | PBEsol geometry

- Calculated total energy: -59.122 eV per atom
- N(E_F): 4.52 states/eV/f.u.
- Symmetry: Pm-3m
- Energy relative to the elements: 934 meV per atom

Unit cell a=5.328 b=5.328 c=5.328 alpha=90.00 beta=90.00 gamma=90.00
Sites, in units of the cell vectors:
Tl1 0.000 0.000 0.500
Tl2 0.000 0.500 0.000
Tl3 0.500 0.000 0.000
Zn1 0.500 0.500 0.500
W1 0.000 0.000 0.000

***

Entry 5:
TlInBr | meta-GGA SCAN | PBEsol geometry

- Calculated total energy: -41.866 eV per atom
- N(E_F): 2.48 states/eV/f.u.
- Symmetry: F-43m
- Energy above the lowest structure with this stoichiometry: 182 meV per atom

Unit cell a=5.232 b=5.232 c=5.232 alpha=60.00 beta=60.00 gamma=60.00
Sites, in units of the cell vectors:
Tl1 0.000 0.000 0.000
In1 0.250 0.250 0.250
Br1 0.500 0.500 0.500

***

Entry 6:
CdNiSb | meta-GGA SCAN | PBEsol geometry

- Calculated total energy: -27.860 eV per atom
- N(E_F): 1.53 states/eV/f.u.
- Symmetry: I4mm

Unit cell a=6.458 b=6.458 c=6.458 alpha=152.56 beta=152.56 gamma=39.19
Sites, in units of the cell vectors:
Cd1 0.000 0.000 0.000
Ni1 0.640 0.640 0.000
Sb1 0.265 0.265 0.000

***

Entry 7:
CoNiIr2 | meta-GGA SCAN | PBEsol geometry

- Calculated total energy: -43.841 eV per atom
- N(E_F): 4.58 states/eV/f.u.
- Symmetry: R3m
- Energy above the lowest structure with this stoichiometry: 74 meV per atom
- Energy relative to the elements: 78 meV per atom

Unit cell a=8.440 b=8.440 c=8.440 alpha=18.00 beta=18.00 gamma=18.00
Sites, in units of the cell vectors:
Co1 0.000 0.000 0.000
Ni1 0.744 0.744 0.744
Ir1 0.251 0.251 0.251
Ir2 0.494 0.494 0.494

***

Entry 8:
Tb5Re2O12 | meta-GGA SCAN | PBEsol geometry

- Calculated total energy: -26.891 eV per atom
- N(E_F): 1.16 states/eV/f.u.
- Symmetry: C2/m

Unit cell a=6.803 b=6.803 c=7.506 alpha=106.28 beta=106.28 gamma=48.69
Sites, in units of the cell vectors:
Tb1 0.000 0.000 0.000
Tb2 0.304 0.304 0.142
Tb3 0.314 0.314 0.674
Tb4 0.686 0.686 0.326
Tb5 0.696 0.696 0.858
Re1 0.215 0.785 0.500
Re2 0.785 0.215 0.500
O1 0.001 0.001 0.294
O2 0.087 0.583 0.416
O3 0.098 0.593 0.926
O4 0.407 0.902 0.074
O5 0.417 0.913 0.584
O6 0.499 0.499 0.324
O7 0.501 0.501 0.676
O8 0.583 0.087 0.416
O9 0.593 0.098 0.926
O10 0.902 0.407 0.074
O11 0.913 0.417 0.584
O12 0.999 0.999 0.706

***

Entry 9:
Li2Ca2Si5O13 | meta-GGA SCAN | PBEsol geometry

- Calculated total energy: -10.136 eV per atom
- N(E_F): 0.00 states/eV/f.u.
- Symmetry: P-1

Unit cell a=7.520 b=7.749 c=10.194 alpha=83.28 beta=68.72 gamma=75.78
Sites, in units of the cell vectors:
Li1 0.163 0.406 0.249
Li2 0.182 0.075 0.364
Li3 0.818 0.925 0.636
Li4 0.837 0.594 0.751
Ca1 0.024 0.167 0.105
Ca2 0.450 0.855 0.893
Ca3 0.550 0.145 0.107
Ca4 0.976 0.833 0.895
Si1 0.149 0.228 0.763
Si2 0.216 0.690 0.540
Si3 0.263 0.766 0.235
Si4 0.316 0.451 0.909
Si5 0.367 0.299 0.459
Si6 0.633 0.701 0.541
Si7 0.684 0.549 0.091
Si8 0.737 0.234 0.765
Si9 0.784 0.310 0.460
Si10 0.851 0.772 0.237
O1 0.025 0.763 0.671
O2 0.073 0.691 0.244
O3 0.159 0.058 0.869
O4 0.198 0.397 0.815
O5 0.217 0.496 0.494
O6 0.219 0.823 0.398
O7 0.251 0.663 0.928
O8 0.279 0.327 0.052
O9 0.296 0.174 0.603
O10 0.297 0.943 0.138
O11 0.351 0.223 0.326
O12 0.413 0.683 0.571
O13 0.447 0.597 0.188
O14 0.553 0.403 0.812
O15 0.587 0.317 0.429
O16 0.649 0.777 0.674
O17 0.703 0.057 0.862
O18 0.704 0.826 0.397
O19 0.721 0.673 0.948
O20 0.749 0.337 0.072
O21 0.781 0.177 0.602
O22 0.783 0.504 0.506
O23 0.802 0.603 0.185
O24 0.841 0.942 0.131
O25 0.927 0.309 0.756
O26 0.975 0.237 0.329

***

Entry 10:
Co2PS3 | meta-GGA SCAN | PBEsol geometry

- Calculated total energy: -12.812 eV per atom
- N(E_F): 1.73 states/eV/f.u.
- Symmetry: P2_1

Unit cell a=5.351 b=5.357 c=5.368 alpha=90.00 beta=90.03 gamma=90.00
Sites, in units of the cell vectors:
Co1 0.001 0.000 0.248
Co2 0.498 0.502 0.248
Co3 0.502 0.002 0.752
Co4 0.999 0.500 0.752
P1 0.115 0.619 0.130
P2 0.885 0.119 0.870
S1 0.116 0.884 0.634
S2 0.377 0.381 0.629
S3 0.378 0.120 0.130
S4 0.622 0.620 0.870
S5 0.623 0.881 0.371
S6 0.884 0.384 0.366

***

Entry 11:
Ta2TcIr | meta-GGA SCAN | PBEsol geometry

- Calculated total energy: -59.973 eV per atom
- N(E_F): 3.63 states/eV/f.u.
- Symmetry: R-3m
- Energy relative to the elements: -142 meV per atom

Unit cell a=8.573 b=8.573 c=8.573 alpha=20.03 beta=20.03 gamma=20.03
Sites, in units of the cell vectors:
Ta1 0.248 0.248 0.248
Ta2 0.752 0.752 0.752
Tc1 0.500 0.500 0.500
Ir1 0.000 0.000 0.000

***

Entry 12:
BaTlRe2Rh | meta-GGA SCAN | PBEsol geometry

- Calculated total energy: -55.468 eV per atom
- N(E_F): 3.65 states/eV/f.u.
- Symmetry: P4/mmm
- Energy relative to the elements: 2107 meV per atom

Unit cell a=5.093 b=5.093 c=5.044 alpha=90.00 beta=90.00 gamma=90.00
Sites, in units of the cell vectors:
Ba1 0.000 0.000 0.000
Tl1 0.500 0.500 0.500
Re1 0.000 0.500 0.500
Re2 0.500 0.000 0.500
Rh1 0.500 0.500 0.000

***

Entry 13:
InH2I | meta-GGA SCAN | PBEsol geometry

- Calculated total energy: -18.403 eV per atom
- N(E_F): 1.16 states/eV/f.u.
- Symmetry: Fm-3m

Unit cell a=4.457 b=4.457 c=4.457 alpha=60.00 beta=60.00 gamma=60.00
Sites, in units of the cell vectors:
In1 0.000 0.000 0.000
H1 0.250 0.250 0.250
H2 0.750 0.750 0.750
I1 0.500 0.500 0.500